Material: LiPm2ThTl4
Method: DFT, PBE
State: optimized geometry

abc: 5.3291 5.3291 27.4178
angles: 90.00 90.00 120.00
Last column: nearest neighbours and their distance in Å.
Space group R-3m (No. 166, hexagonal axes)
Inequivalent atoms, fractional coordinates:
Li 0.0000 0.0000 0.0000  8 Tl 3.25-3.35
Pm 0.0000 0.0000 0.2555  7 Tl 3.20-3.31
Th 0.0000 0.0000 0.5000  8 Tl 3.31-3.51
Tl 0.0000 0.0000 0.1223  3 Th 3.31, 4 Pm 3.31-3.65, 1 Li 3.35
Tl 0.0000 0.0000 0.3721  4 Pm 3.20-3.26, 3 Li 3.25, 1 Th 3.51

## Properties
ΔE_f in meV/atom: -272
Energy in eV per atom: -3.810